1.
Density functional theory data (PBE) for LiTiB after structural relaxation.

The structure in POSCAR format:
```
LiTiB
1.0
3.045 0.000 0.000
0.000 3.331 0.000
3.043 4.996 7.806
B Ti Li
2 2 2
Direct
0.515 0.637 0.493 B
0.927 0.505 0.581 B
0.609 0.027 0.899 Ti
0.318 0.842 0.690 Ti
0.126 0.304 0.381 Li
0.842 0.129 0.165 Li
```

Output
Total magnetization ... 0.000 μB/f.u.
Fermi-level density of states ... 0.73 states/eV/atom
Energy of formation from the pure elements ... -122 meV/atom
Volume ... 13.19 Å³/atom
Mass density ... 2.75 Mg/m³

2.
Density functional theory data (PBE) for AlTcTe2 after structural relaxation.

The structure in POSCAR format:
```
AlTcTe2
1.0
-0.868 3.015 2.780
0.755 0.064 4.123
5.879 3.514 0.617
Tc Te Al
1 2 1
Direct
0.250 0.250 0.250 Tc
0.499 0.499 0.471 Te
0.001 0.001 0.029 Te
0.750 0.750 0.750 Al
```

Output
Total magnetization ... 0.000 μB/f.u.
Fermi-level density of states ... 0.51 states/eV/atom
Raw formation energy ... 0.20 eV/atom
Volume ... 22.64 Å³/atom
Mass density ... 6.97 Mg/m³

3.
Density functional theory data (PBE) for LiPuInBr6 after structural relaxation.

The structure in POSCAR format:
```
LiPuInBr6
1.0
-1.483 -4.910 4.986
6.109 -0.392 -3.701
6.374 7.908 9.683
Pu In Br Li
2 2 12 2
Direct
0.333 0.667 0.750 Pu
0.667 0.333 0.250 Pu
0.000 0.000 0.500 In
0.000 0.000 0.000 In
0.000 0.360 0.137 Br
0.640 0.000 0.363 Br
0.000 0.360 0.637 Br
0.000 0.640 0.363 Br
0.640 0.640 0.137 Br
0.360 0.000 0.637 Br
0.640 0.000 0.863 Br
0.360 0.000 0.137 Br
0.000 0.640 0.863 Br
0.360 0.360 0.363 Br
0.640 0.640 0.637 Br
0.360 0.360 0.863 Br
0.333 0.667 0.250 Li
0.667 0.333 0.750 Li
```

Output
Total magnetization ... 3.988 μB/f.u.
Fermi-level density of states ... 0.61 states/eV/atom
Raw formation energy ... -1.22 eV/atom
Volume ... 34.55 Å³/atom
Mass density ... 4.51 Mg/m³

4.
Density functional theory data (PBE) for TePb2Se after structural relaxation.

The structure in POSCAR format:
```
TePb2Se
1.0
3.803 0.000 0.000
0.000 3.880 0.065
0.000 3.757 7.995
Pb Se Te
2 1 1
Direct
0.000 0.984 0.019 Pb
0.000 0.516 0.481 Pb
0.500 0.250 0.250 Se
0.500 0.750 0.750 Te
```

Output
Total magnetization ... 0.000 μB/f.u.
Fermi-level density of states ... 0.41 states/eV/atom
Raw formation energy ... -0.25 eV/atom
Volume ... 29.26 Å³/atom
Mass density ... 8.81 Mg/m³

5.
Density functional theory data (PBE) for KBeNi2Au after structural relaxation.

The structure in POSCAR format:
```
KBeNi2Au
1.0
-2.181 2.030 2.907
1.462 -3.465 3.516
3.343 2.315 0.892
Au Be Ni K
1 1 2 1
Direct
0.500 0.500 0.500 Au
0.000 0.000 0.000 Be
0.000 0.000 0.500 Ni
0.500 0.000 0.000 Ni
0.000 0.500 0.000 K
```

Output
Total magnetization ... 0.000 μB/f.u.
Fermi-level density of states ... 0.42 states/eV/atom
Energy of formation from the pure elements ... 736 meV/atom
Volume ... 17.84 Å³/atom
Mass density ... 6.75 Mg/m³

6.
Density functional theory data (PBE) for Nb2CuPtO after structural relaxation.

The structure in POSCAR format:
```
Nb2CuPtO
1.0
-1.787 4.478 -0.600
-2.065 -0.275 4.102
3.957 1.863 2.117
Nb Cu O Pt
2 1 1 1
Direct
0.000 0.000 0.500 Nb
0.500 0.000 0.000 Nb
0.000 0.500 0.000 Cu
0.500 0.500 0.500 O
0.000 0.000 0.000 Pt
```

Output
Total magnetization ... 0.000 μB/f.u.
Fermi-level density of states ... 1.15 states/eV/atom
Raw formation energy ... 1.28 eV/atom
Volume ... 21.72 Å³/atom
Mass density ... 7.04 Mg/m³

7.
Density functional theory data (PBE) for YEr2Zr after structural relaxation.

The structure in POSCAR format:
```
YEr2Zr
1.0
3.422 0.000 0.000
0.000 3.126 -1.395
0.000 -2.257 11.732
Er Zr Y
2 1 1
Direct
0.000 0.461 0.481 Er
0.000 0.539 0.019 Er
0.500 0.500 0.250 Zr
0.500 0.500 0.750 Y
```

Output
Total magnetization ... 0.000 μB/f.u.
Fermi-level density of states ... 1.38 states/eV/atom
Energy of formation from the pure elements ... 64 meV/atom
Volume ... 28.67 Å³/atom
Mass density ... 7.45 Mg/m³

8.
Density functional theory data (PBE) for La2SbIr after structural relaxation.

The structure in POSCAR format:
```
La2SbIr
1.0
-1.652 2.062 -4.456
-1.898 -3.061 -3.724
-5.063 0.087 -1.094
Ir Sb La
1 1 2
Direct
0.500 0.500 0.500 Ir
0.250 0.250 0.250 Sb
0.000 0.000 0.000 La
0.750 0.750 0.750 La
```

Output
Total magnetization ... 0.000 μB/f.u.
Fermi-level density of states ... 0.71 states/eV/atom
Raw formation energy ... -0.35 eV/atom
Volume ... 24.57 Å³/atom
Mass density ... 10.00 Mg/m³